Computed, not measured: a relaxed structure of NbCr2Mo at the GGA-PBEsol level of DFT.

Cell: 4.276 4.276 4.276 Å, 60.00 60.00 60.00°
Sites, in units of the cell vectors:
Nb (0.000, 0.000, 0.000)
Cr (0.250, 0.250, 0.250)
Cr (0.750, 0.750, 0.750)
Mo (0.500, 0.500, 0.500)

Computed properties:
E_form: 0.05 eV/atom
N(E_F): 2.613 states/eV/f.u.
Space group: Fm-3m (225)

Computed, not measured: a relaxed structure of LiLaP3 at the GGA-PBEsol level of DFT.

Cell: 4.458 4.458 4.458 Å, 90.00 90.00 90.00°
Sites, in units of the cell vectors:
Li (0.000, 0.000, 0.000)
La (0.500, 0.500, 0.500)
P (0.000, 0.000, 0.500)
P (0.000, 0.500, 0.000)
P (0.500, 0.000, 0.000)

Computed properties:
E_form: -0.32 eV/atom
N(E_F): 2.060 states/eV/f.u.
Space group: Pm-3m (221)

Computed, not measured: a relaxed structure of YSiRh3 at the GGA-PBEsol level of DFT.

Cell: 4.403 4.403 4.403 Å, 90.00 90.00 90.00°
Sites, in units of the cell vectors:
Y (0.000, 0.000, 0.000)
Si (0.500, 0.500, 0.500)
Rh (0.000, 0.500, 0.500)
Rh (0.500, 0.000, 0.500)
Rh (0.500, 0.500, 0.000)

Computed properties:
ΔE_f (raw): -616 meV/atom
N(E_F): 0.398 states/eV/f.u.
Space group: Pm-3m (221)

Computed, not measured: a relaxed structure of V3ReB4 at the GGA-PBEsol level of DFT.

Cell: 2.971 3.037 8.067 Å, 90.00 90.00 90.00°
Sites, in units of the cell vectors:
V (0.000, 0.000, 0.000)
V (0.000, 0.500, 0.492)
V (0.500, 0.000, 0.286)
Re (0.500, 0.500, 0.791)
B (0.000, 0.000, 0.695)
B (0.000, 0.500, 0.205)
B (0.500, 0.000, 0.568)
B (0.500, 0.500, 0.081)

Computed properties:
E_form: -0.78 eV/atom
N(E_F): 3.345 states/eV/f.u.
Space group: Pmm2 (25)

Computed, not measured: a relaxed structure of RbBe2P3O10 at the GGA-PBEsol level of DFT.

Cell: 7.514 7.514 8.987 Å, 112.20 112.20 70.84°
Sites, in units of the cell vectors:
Rb (0.198, 0.802, 0.750)
Rb (0.802, 0.198, 0.250)
Be (0.200, 0.287, 0.062)
Be (0.287, 0.200, 0.562)
Be (0.713, 0.800, 0.438)
Be (0.800, 0.713, 0.938)
P (0.003, 0.633, 0.254)
P (0.367, 0.997, 0.246)
P (0.383, 0.617, 0.250)
P (0.617, 0.383, 0.750)
P (0.633, 0.003, 0.754)
P (0.997, 0.367, 0.746)
O (0.036, 0.413, 0.163)
O (0.078, 0.310, 0.600)
O (0.103, 0.237, 0.862)
O (0.224, 0.681, 0.349)
O (0.237, 0.103, 0.362)
O (0.310, 0.078, 0.100)
O (0.319, 0.776, 0.151)
O (0.368, 0.418, 0.124)
O (0.413, 0.036, 0.663)
O (0.418, 0.368, 0.624)
O (0.582, 0.632, 0.376)
O (0.587, 0.964, 0.337)
O (0.632, 0.582, 0.876)
O (0.681, 0.224, 0.849)
O (0.690, 0.922, 0.900)
O (0.763, 0.897, 0.638)
O (0.776, 0.319, 0.651)
O (0.897, 0.763, 0.138)
O (0.922, 0.690, 0.400)
O (0.964, 0.587, 0.837)

Computed properties:
ΔE_f (raw): -2445 meV/atom
N(E_F): 0.000 states/eV/f.u.
Space group: C2/c (15)

Computed, not measured: a relaxed structure of ScTa2Os at the GGA-PBEsol level of DFT.

Cell: 4.560 4.560 4.560 Å, 60.00 60.00 60.00°
Sites, in units of the cell vectors:
Sc (0.000, 0.000, 0.000)
Ta (0.500, 0.500, 0.500)
Ta (0.750, 0.750, 0.750)
Os (0.250, 0.250, 0.250)

Computed properties:
E_form: -0.07 eV/atom
N(E_F): 4.927 states/eV/f.u.
Space group: F-43m (216)

Computed, not measured: a relaxed structure of HoBiTe3 at the GGA-PBEsol level of DFT.

Cell: 10.555 10.555 10.555 Å, 23.54 23.54 23.54°
Sites, in units of the cell vectors:
Ho (0.000, 0.000, 0.000)
Bi (0.201, 0.201, 0.201)
Te (0.386, 0.386, 0.386)
Te (0.605, 0.605, 0.605)
Te (0.812, 0.812, 0.812)

Computed properties:
ΔE_f (raw): -771 meV/atom
Space group: R3m (160)

Computed, not measured: a relaxed structure of TiPtCl3 at the GGA-PBEsol level of DFT.

Cell: 4.650 4.650 4.650 Å, 90.00 90.00 90.00°
Sites, in units of the cell vectors:
Ti (0.000, 0.000, 0.000)
Pt (0.500, 0.500, 0.500)
Cl (0.000, 0.000, 0.500)
Cl (0.000, 0.500, 0.000)
Cl (0.500, 0.000, 0.000)

Computed properties:
ΔE_f (raw): -146 meV/atom
N(E_F): 7.774 states/eV/f.u.
Space group: Pm-3m (221)

Computed, not measured: a relaxed structure of SiTe at the GGA-PBEsol level of DFT.

Cell: 4.075 3.797 8.122 Å, 90.00 90.00 90.00°
Sites, in units of the cell vectors:
Si (0.250, 0.000, 0.076)
Si (0.750, 0.000, 0.924)
Te (0.250, 0.500, 0.281)
Te (0.750, 0.500, 0.719)

Computed properties:
ΔE_f (raw): 66 meV/atom
N(E_F): 0.387 states/eV/f.u.
Space group: Pmma (51)

Computed, not measured: a relaxed structure of Hg2NF at the GGA-PBEsol level of DFT.

Cell: 4.273 4.273 4.273 Å, 60.00 60.00 60.00°
Sites, in units of the cell vectors:
Hg (0.250, 0.250, 0.250)
Hg (0.750, 0.750, 0.750)
N (0.000, 0.000, 0.000)
F (0.500, 0.500, 0.500)

Computed properties:
ΔE_f (raw): 391 meV/atom
N(E_F): 0.573 states/eV/f.u.
Space group: Fm-3m (225)

Computed, not measured: a relaxed structure of BaB2H2O5 at the GGA-PBEsol level of DFT.

Cell: 6.966 7.187 11.734 Å, 90.00 91.17 90.00°
Sites, in units of the cell vectors:
Ba (0.000, 0.119, 0.250)
Ba (0.000, 0.881, 0.750)
Ba (0.314, 0.277, 0.552)
Ba (0.314, 0.723, 0.052)
Ba (0.686, 0.277, 0.948)
Ba (0.686, 0.723, 0.448)
B (0.000, 0.361, 0.750)
B (0.000, 0.639, 0.250)
B (0.178, 0.266, 0.937)
B (0.178, 0.734, 0.437)
B (0.336, 0.494, 0.301)
B (0.336, 0.506, 0.801)
B (0.500, 0.183, 0.250)
B (0.500, 0.817, 0.750)
B (0.664, 0.494, 0.199)
B (0.664, 0.506, 0.699)
B (0.822, 0.266, 0.563)
B (0.822, 0.734, 0.063)
H (0.120, 0.384, 0.100)
H (0.120, 0.616, 0.600)
H (0.360, 0.105, 0.098)
H (0.360, 0.895, 0.598)
H (0.375, 0.057, 0.886)
H (0.375, 0.943, 0.386)
H (0.625, 0.057, 0.614)
H (0.625, 0.943, 0.114)
H (0.640, 0.105, 0.402)
H (0.640, 0.895, 0.902)
H (0.880, 0.384, 0.400)
H (0.880, 0.616, 0.900)
O (0.038, 0.233, 0.846)
O (0.038, 0.767, 0.346)
O (0.075, 0.285, 0.046)
O (0.075, 0.715, 0.546)
O (0.165, 0.483, 0.725)
O (0.165, 0.517, 0.225)
O (0.297, 0.089, 0.953)
O (0.297, 0.911, 0.453)
O (0.302, 0.424, 0.916)
O (0.302, 0.576, 0.416)
O (0.372, 0.293, 0.320)
O (0.372, 0.707, 0.820)
O (0.389, 0.050, 0.174)
O (0.389, 0.950, 0.674)
O (0.500, 0.413, 0.750)
O (0.500, 0.587, 0.250)
O (0.611, 0.050, 0.326)
O (0.611, 0.950, 0.826)
O (0.628, 0.293, 0.180)
O (0.628, 0.707, 0.680)
O (0.698, 0.424, 0.584)
O (0.698, 0.576, 0.084)
O (0.703, 0.089, 0.547)
O (0.703, 0.911, 0.047)
O (0.835, 0.483, 0.775)
O (0.835, 0.517, 0.275)
O (0.925, 0.285, 0.454)
O (0.925, 0.715, 0.954)
O (0.962, 0.233, 0.654)
O (0.962, 0.767, 0.154)

Computed properties:
Total DFT energy (no corrections): -7.1637 eV/atom
N(E_F): 0.000 states/eV/f.u.
Space group: P2/c (13)

Computed, not measured: a relaxed structure of BaZnN3 at the GGA-PBEsol level of DFT.

Cell: 4.096 4.096 4.096 Å, 90.00 90.00 90.00°
Sites, in units of the cell vectors:
Ba (0.000, 0.000, 0.000)
Zn (0.500, 0.500, 0.500)
N (0.000, 0.500, 0.500)
N (0.500, 0.000, 0.500)
N (0.500, 0.500, 0.000)

Computed properties:
ΔE_f (raw): 912 meV/atom
N(E_F): 3.852 states/eV/f.u.
Space group: Pm-3m (221)

Computed, not measured: a relaxed structure of Cd2InAs2 at the GGA-PBEsol level of DFT.

Cell: 6.853 6.853 6.853 Å, 142.57 142.57 53.97°
Sites, in units of the cell vectors:
Cd (0.250, 0.750, 0.500)
Cd (0.750, 0.250, 0.500)
In (0.000, 0.000, 0.000)
As (0.388, 0.388, 0.000)
As (0.612, 0.612, 0.000)

Computed properties:
E_form: 0.07 eV/atom
N(E_F): 2.212 states/eV/f.u.
Space group: I4/mmm (139)

Computed, not measured: a relaxed structure of SiNiSe2Br at the GGA-PBEsol level of DFT.

Cell: 4.625 4.625 4.757 Å, 90.00 90.00 90.00°
Sites, in units of the cell vectors:
Si (0.000, 0.000, 0.000)
Ni (0.500, 0.500, 0.500)
Se (0.000, 0.500, 0.500)
Se (0.500, 0.000, 0.500)
Br (0.500, 0.500, 0.000)

Computed properties:
ΔE_f (raw): 364 meV/atom
N(E_F): 4.149 states/eV/f.u.
Space group: P4/mmm (123)

Computed, not measured: a relaxed structure of Si2C2Se at the GGA-PBEsol level of DFT.

Cell: 4.483 4.483 4.483 Å, 128.43 128.43 75.93°
Sites, in units of the cell vectors:
Si (0.250, 0.750, 0.500)
Si (0.750, 0.250, 0.500)
C (0.110, 0.110, 0.000)
C (0.890, 0.890, 0.000)
Se (0.500, 0.500, 0.000)

Computed properties:
ΔE_f (raw): 895 meV/atom
N(E_F): 1.908 states/eV/f.u.
Space group: I4/mmm (139)

Computed, not measured: a relaxed structure of TiMnP2S at the GGA-PBEsol level of DFT.

Cell: 4.233 4.233 4.688 Å, 90.00 90.00 90.00°
Sites, in units of the cell vectors:
Ti (0.000, 0.000, 0.000)
Mn (0.500, 0.500, 0.500)
P (0.000, 0.500, 0.500)
P (0.500, 0.000, 0.500)
S (0.500, 0.500, 0.000)

Computed properties:
ΔE_f (raw): 236 meV/atom
N(E_F): 4.995 states/eV/f.u.
Space group: P4/mmm (123)

Computed, not measured: a relaxed structure of YZrOs at the GGA-PBEsol level of DFT.

Cell: 3.310 3.310 6.878 Å, 90.00 90.00 120.00°
Sites, in units of the cell vectors:
Y (0.000, 0.000, 0.000)
Zr (0.667, 0.333, 0.577)
Os (0.333, 0.667, 0.311)

Computed properties:
E_form: 0.17 eV/atom
N(E_F): 2.827 states/eV/f.u.
Space group: P3m1 (156)

Computed, not measured: a relaxed structure of LiTe2Cl at the GGA-PBEsol level of DFT.

Cell: 5.172 5.172 5.172 Å, 60.00 60.00 60.00°
Sites, in units of the cell vectors:
Li (0.000, 0.000, 0.000)
Te (0.250, 0.250, 0.250)
Te (0.500, 0.500, 0.500)
Cl (0.750, 0.750, 0.750)

Computed properties:
ΔE_f (raw): -266 meV/atom
N(E_F): 3.005 states/eV/f.u.
Space group: F-43m (216)

Computed, not measured: a relaxed structure of LiCo2Ir at the GGA-PBEsol level of DFT.

Cell: 4.836 4.836 4.836 Å, 147.90 128.42 62.06°
Sites, in units of the cell vectors:
Li (0.000, 0.000, 0.000)
Co (0.252, 0.752, 0.500)
Co (0.482, 0.482, 0.000)
Ir (0.733, 0.233, 0.500)

Computed properties:
E_form: 0.10 eV/atom
N(E_F): 4.127 states/eV/f.u.
Space group: Imm2 (44)

Computed, not measured: a relaxed structure of Na6SbO5 at the GGA-PBEsol level of DFT.

Cell: 6.055 6.055 10.866 Å, 90.00 90.00 55.78°
Sites, in units of the cell vectors:
Na (0.067, 0.338, 0.250)
Na (0.193, 0.807, 0.559)
Na (0.193, 0.807, 0.941)
Na (0.277, 0.277, 0.000)
Na (0.277, 0.277, 0.500)
Na (0.338, 0.067, 0.750)
Na (0.662, 0.933, 0.250)
Na (0.723, 0.723, 0.000)
Na (0.723, 0.723, 0.500)
Na (0.807, 0.193, 0.059)
Na (0.807, 0.193, 0.441)
Na (0.933, 0.662, 0.750)
Sb (0.277, 0.723, 0.250)
Sb (0.723, 0.277, 0.750)
O (0.067, 0.662, 0.117)
O (0.067, 0.662, 0.383)
O (0.338, 0.933, 0.117)
O (0.338, 0.933, 0.383)
O (0.371, 0.629, 0.750)
O (0.629, 0.371, 0.250)
O (0.662, 0.067, 0.617)
O (0.662, 0.067, 0.883)
O (0.933, 0.338, 0.617)
O (0.933, 0.338, 0.883)

Computed properties:
ΔE_f (raw): -1384 meV/atom
N(E_F): 2.820 states/eV/f.u.
Space group: Cmcm (63)